Hf6PbN | GGA-PBE | optimized geometry

Computed properties:
DOS(E_F) in states/eV/f.u.: 1.6
Uncorrected formation energy in eV/atom: -0.42
E_tot in eV for the cell shown: -75.1
Symmetry: R-3m

```
Hf6PbN
1.0
5.578 0.490 -0.149
-1.621 5.360 -0.149
-0.886 -1.310 5.374
Hf Pb N
6 1 1
Direct
0.223 0.223 0.608
0.608 0.223 0.223
0.777 0.777 0.392
0.777 0.392 0.777
0.392 0.777 0.777
0.223 0.608 0.223
0.000 0.000 0.000
0.500 0.500 0.500
```